(1)
## PtSeS2Cl (PBE)

Data for PtSeS2Cl after structural relaxation.

a = 4.7160 Å, b = 4.7160 Å, c = 4.7757 Å
α = 90.00°, β = 90.00°, γ = 90.00°
Fractional positions:
Pt 0.0000 0.0000 0.0000
Se 0.5000 0.5000 0.5000
S 0.0000 0.5000 0.0000
S 0.5000 0.0000 0.0000
Cl 0.0000 0.0000 0.5000

* space-group type: P4/mmm, No. 123
* energy above the lowest structure with this stoichiometry: 0 meV/atom

(2)
## AlSn3Pb (PBE)

Data for AlSn3Pb after structural relaxation.

a = 5.3392 Å, b = 5.3392 Å, c = 5.3392 Å
α = 90.00°, β = 90.00°, γ = 90.00°
Fractional positions:
Al 0.0000 0.0000 0.0000
Sn 0.0000 0.0000 0.5000
Sn 0.0000 0.5000 0.0000
Sn 0.5000 0.0000 0.0000
Pb 0.5000 0.5000 0.5000

* space-group type: Pm-3m, No. 221
* energy above the lowest structure with this stoichiometry: 0 meV/atom

(3)
## Pm2Al2Ni (PBE)

Data for Pm2Al2Ni after structural relaxation.

a = 5.7550 Å, b = 5.7550 Å, c = 10.3021 Å
α = 114.80°, β = 114.80°, γ = 46.82°
Fractional positions:
Pm 0.0913 0.0913 0.3991
Pm 0.3351 0.3351 0.8237
Pm 0.6649 0.6649 0.1763
Pm 0.9087 0.9087 0.6009
Al 0.0984 0.0984 0.9430
Al 0.3783 0.3783 0.3672
Al 0.6217 0.6217 0.6328
Al 0.9016 0.9016 0.0570
Ni 0.3561 0.3561 0.1207
Ni 0.6439 0.6439 0.8793

* space-group type: C2/m, No. 12

Number 1: VASP energy -0.1238 Ha/atom. Number 2: VASP energy -0.1309 Ha/atom. Number 3: VASP energy -0.1829 Ha/atom.